{"formula": "Hg2GeN", "functional": "PBE", "state": "relaxed", "de_polymorph_mev_per_atom": 0, "formation_energy_uncorrected_kj_per_mol_atoms": 88.3, "volume_a3_per_cell": 176.02, "lattice_angstrom": [[6.2290, 0.0000, 0.0000], [0.0000, 6.2290, 0.0000], [3.1145, 3.1145, 4.5367]], "species": ["Hg", "Hg", "Ge", "Ge", "N", "Hg", "Hg", "N"], "frac_coords": [[0.1928, 0.6250, 0.2500], [0.3750, 0.4428, 0.7500], [0.7500, 0.2500, 0.5000], [0.0000, 0.0000, 0.0000], [0.2500, 0.7500, 0.5000], [0.5572, 0.1250, 0.2500], [0.8750, 0.8072, 0.7500], [0.5000, 0.5000, 0.0000]]}